Rb2CdH6Au, relaxed, DFT PBE; energy = -26.86 eV/cell; SG = No. 139
1.0
-2.919 2.919 4.583
2.919 -2.919 4.583
2.919 2.919 -4.583
Rb Cd H Au
2 1 6 1
Direct
0.250 0.750 0.500
0.750 0.250 0.500
0.000 0.000 0.000
0.197 0.197 0.000
0.289 0.289 0.577
0.289 0.711 0.000
0.711 0.289 0.000
0.711 0.711 0.423
0.803 0.803 0.000
0.500 0.500 0.000

YHf2Bi, relaxed, DFT PBE; energy = -57.52 eV/cell; ΔH_f (0 K) = 0.373 eV/atom; SG = No. 122
1.0
-4.295 4.295 3.023
4.295 -4.295 3.023
4.295 4.295 -3.023
Y Hf Bi
2 4 2
Direct
0.000 0.000 0.000
0.750 0.250 0.500
0.158 0.125 0.533
0.375 0.842 0.967
0.592 0.625 0.467
0.875 0.408 0.033
0.250 0.750 0.500
0.500 0.500 0.000

ReNiPd, relaxed, DFT PBE; energy = -46.43 eV/cell; ΔH_f (0 K) = 0.069 eV/atom; SG = No. 2
1.0
2.721 0.000 0.000
0.009 4.650 0.000
1.356 1.791 6.587
Re Ni Pd
2 2 2
Direct
0.238 0.253 0.001
0.762 0.747 0.999
0.411 0.701 0.689
0.589 0.299 0.311
0.079 0.787 0.346
0.921 0.213 0.654

AcAl9Pd2, relaxed, DFT PBE; energy = -107.35 eV/cell; ΔH_f (0 K) = -0.458 eV/atom; SG = No. 141
1.0
-5.413 5.413 3.672
5.413 -5.413 3.672
5.413 5.413 -3.672
Ac Al Pd
2 18 4
Direct
0.375 0.625 0.750
0.625 0.375 0.250
0.125 0.875 0.250
0.138 0.562 0.330
0.138 0.808 0.576
0.192 0.268 0.330
0.192 0.862 0.924
0.268 0.192 0.830
0.268 0.438 0.076
0.438 0.268 0.576
0.438 0.862 0.170
0.562 0.138 0.830
0.562 0.732 0.424
0.732 0.562 0.924
0.732 0.808 0.170
0.808 0.138 0.076
0.808 0.732 0.670
0.862 0.192 0.424
0.862 0.438 0.670
0.875 0.125 0.750
0.000 0.000 0.000
0.000 0.000 0.500
0.000 0.500 0.000
0.500 0.000 0.500

MgAl3Fe2, relaxed, DFT PBE; energy = -61.79 eV/cell; ΔH_f (0 K) = -0.191 eV/atom; SG = No. 63
1.0
4.376 -4.146 0.000
4.376 4.146 0.000
0.000 0.000 5.140
Mg Al Fe
2 6 4
Direct
0.080 0.920 0.750
0.920 0.080 0.250
0.042 0.553 0.250
0.447 0.958 0.250
0.468 0.532 0.750
0.532 0.468 0.250
0.553 0.042 0.750
0.958 0.447 0.750
0.264 0.264 0.000
0.264 0.264 0.500
0.736 0.736 0.000
0.736 0.736 0.500

Na3ZnCo, relaxed, DFT PBE; energy = -7.66 eV/cell; ΔH_f (0 K) = 0.935 eV/atom; SG = No. 221
1.0
5.432 0.000 0.000
0.000 5.432 0.000
0.000 0.000 5.432
Na Zn Co
3 1 1
Direct
0.000 0.000 0.500
0.000 0.500 0.000
0.500 0.000 0.000
0.000 0.000 0.000
0.500 0.500 0.500

SiPRu, relaxed, DFT PBE; energy = -84.71 eV/cell; SG = No. 14; ΔE_f (raw) = -356.3 meV per atom
1.0
5.525 0.000 0.000
0.000 5.982 0.000
-2.643 0.000 5.452
Si P Ru
4 4 4
Direct
0.169 0.156 0.331
0.169 0.344 0.831
0.831 0.656 0.169
0.831 0.844 0.669
0.341 0.592 0.165
0.341 0.908 0.665
0.659 0.092 0.335
0.659 0.408 0.835
0.252 0.535 0.501
0.252 0.965 0.001
0.748 0.035 0.999
0.748 0.465 0.499

Y2MnCo, relaxed, DFT PBE; energy = -28.91 eV/cell; ΔH_f (0 K) = 0.075 eV/atom; SG = No. 123
1.0
4.900 0.000 0.000
0.000 4.900 0.000
0.000 0.000 3.415
Y Mn Co
2 1 1
Direct
0.000 0.500 0.000
0.500 0.000 0.000
0.000 0.000 0.500
0.500 0.500 0.500

BeCdRe2, relaxed, DFT PBE; energy = -25.71 eV/cell; ΔH_f (0 K) = 0.957 eV/atom; SG = No. 123
1.0
4.348 0.000 0.000
0.000 4.348 0.000
0.000 0.000 3.092
Be Cd Re
1 1 2
Direct
0.000 0.000 0.000
0.500 0.500 0.000
0.000 0.500 0.500
0.500 0.000 0.500

Ho2TmZr, relaxed, DFT PBE; energy = -21.85 eV/cell; ΔH_f (0 K) = 0.081 eV/atom; SG = No. 12
1.0
5.648 -1.702 0.000
5.648 1.702 0.000
-1.027 0.000 5.871
Ho Tm Zr
2 1 1
Direct
0.246 0.246 0.241
0.754 0.754 0.759
0.000 0.000 0.500
0.500 0.500 0.000

BeGeO2F, relaxed, DFT PBE; energy = -23.84 eV/cell; SG = No. 123; ΔE_f (raw) = -741.9 meV per atom
1.0
3.763 0.000 0.000
0.000 3.763 0.000
0.000 0.000 3.904
Be Ge O F
1 1 2 1
Direct
0.000 0.000 0.000
0.500 0.500 0.500
0.000 0.500 0.500
0.500 0.000 0.500
0.500 0.500 0.000

NiRh2Au, relaxed, DFT PBE; energy = -23.05 eV/cell; ΔH_f (0 K) = 0.179 eV/atom; SG = No. 123
1.0
3.844 0.000 0.000
0.000 3.844 0.000
0.000 0.000 3.914
Ni Rh Au
1 2 1
Direct
0.000 0.000 0.000
0.000 0.500 0.500
0.500 0.000 0.500
0.500 0.500 0.000

Y3CrSn, relaxed, DFT PBE; energy = -32.03 eV/cell; ΔH_f (0 K) = 0.198 eV/atom; SG = No. 221
1.0
5.209 0.000 0.000
0.000 5.209 0.000
0.000 0.000 5.209
Y Cr Sn
3 1 1
Direct
0.000 0.000 0.500
0.000 0.500 0.000
0.500 0.000 0.000
0.000 0.000 0.000
0.500 0.500 0.500

Zn2Cu4Ge, relaxed, DFT PBE; energy = -23.39 eV/cell; ΔH_f (0 K) = 0.023 eV/atom; SG = No. 65
1.0
4.219 -4.286 0.000
4.219 4.286 0.000
0.000 0.000 2.703
Zn Cu Ge
2 4 1
Direct
0.178 0.822 0.000
0.822 0.178 0.000
0.000 0.500 0.500
0.243 0.243 0.000
0.500 0.000 0.500
0.757 0.757 0.000
0.500 0.500 0.500

BaNaLiSn, relaxed, DFT PBE; energy = -10.57 eV/cell; ΔH_f (0 K) = -0.353 eV/atom; SG = No. 216
1.0
0.000 3.850 3.850
3.850 0.000 3.850
3.850 3.850 0.000
Ba Na Li Sn
1 1 1 1
Direct
0.000 0.000 0.000
0.750 0.750 0.750
0.250 0.250 0.250
0.500 0.500 0.500

Ac4SiSeS2, relaxed, DFT PBE; energy = -46.83 eV/cell; SG = No. 10; ΔE_f (raw) = -1653.8 meV per atom
1.0
7.618 0.000 0.000
0.000 4.453 0.000
-2.600 0.000 7.265
Ac Si Se S
4 1 1 2
Direct
0.245 0.000 0.240
0.249 0.500 0.756
0.751 0.500 0.244
0.755 0.000 0.760
0.500 0.000 0.000
0.500 0.500 0.500
0.000 0.000 0.500
0.000 0.500 0.000

TlInMo2, relaxed, DFT PBE; energy = -23.63 eV/cell; ΔH_f (0 K) = 0.784 eV/atom; SG = No. 225
1.0
0.000 3.335 3.335
3.335 0.000 3.335
3.335 3.335 0.000
Tl In Mo
1 1 2
Direct
0.000 0.000 0.000
0.500 0.500 0.500
0.250 0.250 0.250
0.750 0.750 0.750

Ce2PN, relaxed, DFT PBE; energy = -30.19 eV/cell; SG = No. 160; ΔE_f (raw) = -1147.4 meV per atom
1.0
1.852 1.069 6.705
-1.852 1.069 6.705
0.000 -2.138 6.705
Ce P N
2 1 1
Direct
0.000 0.000 0.000
0.152 0.152 0.152
0.575 0.575 0.575
0.401 0.401 0.401

NdY5S6, relaxed, DFT PBE; energy = -85.89 eV/cell; SG = No. 12; ΔE_f (raw) = -2002.9 meV per atom
1.0
3.416 -5.929 0.000
3.416 5.929 0.000
-2.295 0.000 6.425
Nd Y S
1 5 6
Direct
0.000 0.000 0.000
0.162 0.838 0.500
0.335 0.665 0.000
0.500 0.500 0.500
0.665 0.335 0.000
0.838 0.162 0.500
0.085 0.427 0.255
0.257 0.257 0.747
0.427 0.085 0.255
0.573 0.915 0.745
0.743 0.743 0.253
0.915 0.573 0.745

HfTi2AlTc, relaxed, DFT PBE; energy = -36.24 eV/cell; ΔH_f (0 K) = 0.722 eV/atom; SG = No. 123
1.0
4.677 0.000 0.000
0.000 4.677 0.000
0.000 0.000 4.479
Hf Ti Al Tc
1 2 1 1
Direct
0.000 0.000 0.000
0.000 0.500 0.500
0.500 0.000 0.500
0.500 0.500 0.500
0.500 0.500 0.000

FeMo, relaxed, DFT PBE; energy = -62.63 eV/cell; ΔH_f (0 K) = 1.818 eV/atom; SG = No. 217
1.0
-3.669 3.669 3.669
3.669 -3.669 3.669
3.669 3.669 -3.669
Fe Mo
4 4
Direct
0.000 0.000 0.658
0.000 0.658 0.000
0.342 0.342 0.342
0.658 0.000 0.000
0.000 0.000 0.282
0.000 0.282 0.000
0.282 0.000 0.000
0.718 0.718 0.718

PuAlV, relaxed, DFT PBE; energy = -27.06 eV/cell; ΔH_f (0 K) = 0.045 eV/atom; SG = No. 107
1.0
-1.407 1.407 6.624
1.407 -1.407 6.624
1.407 1.407 -6.624
Pu Al V
1 1 1
Direct
0.000 0.000 0.000
0.686 0.686 0.000
0.325 0.325 0.000

ZnPtF3, relaxed, DFT PBE; energy = -16.45 eV/cell; SG = No. 221; ΔE_f (raw) = -705.0 meV per atom
1.0
4.292 0.000 0.000
0.000 4.292 0.000
0.000 0.000 4.292
Zn Pt F
1 1 3
Direct
0.000 0.000 0.000
0.500 0.500 0.500
0.000 0.500 0.500
0.500 0.000 0.500
0.500 0.500 0.000

Tm5Zr3As8, relaxed, DFT PBE; energy = -106.82 eV/cell; ΔH_f (0 K) = -1.351 eV/atom; SG = No. 166
1.0
3.972 2.293 6.532
-3.972 2.293 6.532
0.000 -4.586 6.532
Tm Zr As
5 3 8
Direct
0.000 0.000 0.000
0.000 0.500 0.500
0.500 0.000 0.500
0.500 0.500 0.000
0.500 0.500 0.500
0.000 0.000 0.500
0.000 0.500 0.000
0.500 0.000 0.000
0.243 0.750 0.750
0.247 0.247 0.247
0.250 0.250 0.757
0.250 0.757 0.250
0.750 0.243 0.750
0.750 0.750 0.243
0.753 0.753 0.753
0.757 0.250 0.250

AcLa2Pr4, relaxed, DFT PBE; energy = -31.79 eV/cell; ΔH_f (0 K) = 0.185 eV/atom; SG = No. 139
1.0
-2.371 2.371 12.091
2.371 -2.371 12.091
2.371 2.371 -12.091
Ac La Pr
1 2 4
Direct
0.000 0.000 0.000
0.396 0.396 0.000
0.604 0.604 0.000
0.142 0.142 0.000
0.250 0.750 0.500
0.750 0.250 0.500
0.858 0.858 0.000